Compound: TaAlTcPd2
Source: the Alexandria database
Functional: GGA-PBE
Structure: optimized geometry

- Space-group type: P4/mmm, No. 123
- DFT total energy: -33.33 eV for the cell shown
- Magnetic moment: 0.0 μB per cell
- Density of states at the Fermi level: 1.22 states/eV/atom

The structure in CIF format:
```
data_TaAlTcPd2
_space_group_name_H-M_alt 'P 1'
_space_group_IT_number 1
_cell_length_a 4.3728
_cell_length_b 4.5604
_cell_length_c 4.3728
_cell_angle_alpha 90.00
_cell_angle_beta 90.00
_cell_angle_gamma 90.00
loop_
_space_group_symop_operation_xyz
'x,y,z'
loop_
_atom_site_label
_atom_site_type_symbol
_atom_site_fract_x
_atom_site_fract_y
_atom_site_fract_z
Pd1 Pd 0.0000 0.0000 0.5000
Pd2 Pd 0.5000 0.0000 0.0000
Ta1 Ta 0.5000 0.5000 0.5000
Tc1 Tc 0.0000 0.5000 0.0000
Al1 Al 0.0000 0.0000 0.0000
```



Compound: TlIrRh2
Source: the Alexandria database
Functional: GGA-PBE
Structure: optimized geometry

- Space-group type: Cmmm, No. 65
- DFT total energy: -24.93 eV for the cell shown
- Magnetic moment: 0.0 μB per cell
- Density of states at the Fermi level: 1.26 states/eV/atom
- E above lowest polymorph: 49.9 meV per atom

The structure in CIF format:
```
data_TlIrRh2
_space_group_name_H-M_alt 'P 1'
_space_group_IT_number 1
_cell_length_a 4.8192
_cell_length_b 4.8192
_cell_length_c 2.8764
_cell_angle_alpha 90.00
_cell_angle_beta 90.00
_cell_angle_gamma 105.74
loop_
_space_group_symop_operation_xyz
'x,y,z'
loop_
_atom_site_label
_atom_site_type_symbol
_atom_site_fract_x
_atom_site_fract_y
_atom_site_fract_z
Ir1 Ir 0.5000 0.5000 0.5000
Rh1 Rh 0.5000 0.0000 0.0000
Rh2 Rh 0.0000 0.5000 0.0000
Tl1 Tl 0.0000 0.0000 0.5000
```



Compound: Pm3Tm3Sc2
Source: the Alexandria database
Functional: GGA-PBE
Structure: optimized geometry

- Space-group type: Pmmm, No. 47
- DFT total energy: -39.97 eV for the cell shown
- Magnetic moment: 0.0 μB per cell
- Density of states at the Fermi level: 1.63 states/eV/atom
- E above lowest polymorph: 0.0 meV per atom

The structure in CIF format:
```
data_Pm3Tm3Sc2
_space_group_name_H-M_alt 'P 1'
_space_group_IT_number 1
_cell_length_a 4.9598
_cell_length_b 4.9908
_cell_length_c 9.7320
_cell_angle_alpha 90.00
_cell_angle_beta 90.00
_cell_angle_gamma 90.00
loop_
_space_group_symop_operation_xyz
'x,y,z'
loop_
_atom_site_label
_atom_site_type_symbol
_atom_site_fract_x
_atom_site_fract_y
_atom_site_fract_z
Pm1 Pm 0.5000 0.0000 0.5000
Pm2 Pm 0.0000 0.5000 0.5000
Pm3 Pm 0.5000 0.0000 0.0000
Sc1 Sc 0.0000 0.0000 0.2477
Sc2 Sc 0.0000 0.0000 0.7523
Tm1 Tm 0.5000 0.5000 0.2478
Tm2 Tm 0.5000 0.5000 0.7522
Tm3 Tm 0.0000 0.5000 0.0000
```



Compound: HfSc2Co9
Source: the Alexandria database
Functional: GGA-PBE
Structure: optimized geometry

- Space-group type: R-3m, No. 166
- DFT total energy: -89.71 eV for the cell shown
- Magnetic moment: 9.9 μB per cell
- Density of states at the Fermi level: 1.31 states/eV/atom

The structure in CIF format:
```
data_HfSc2Co9
_space_group_name_H-M_alt 'P 1'
_space_group_IT_number 1
_cell_length_a 4.7961
_cell_length_b 4.7961
_cell_length_c 8.4088
_cell_angle_alpha 73.43
_cell_angle_beta 73.43
_cell_angle_gamma 60.00
loop_
_space_group_symop_operation_xyz
'x,y,z'
loop_
_atom_site_label
_atom_site_type_symbol
_atom_site_fract_x
_atom_site_fract_y
_atom_site_fract_z
Co1 Co 0.0785 0.5849 0.7517
Co2 Co 0.9215 0.4151 0.2483
Co3 Co 0.4151 0.4151 0.2483
Co4 Co 0.3349 0.3349 0.9952
Co5 Co 0.5849 0.5849 0.7517
Co6 Co 0.6651 0.6651 0.0048
Co7 Co 0.4151 0.9215 0.2483
Co8 Co 0.5849 0.0785 0.7517
Co9 Co 0.5000 0.5000 0.5000
Sc1 Sc 0.1401 0.1401 0.5796
Sc2 Sc 0.8599 0.8599 0.4204
Hf1 Hf 0.0000 0.0000 0.0000
```



Compound: GaSeO2F
Source: the Alexandria database
Functional: GGA-PBE
Structure: optimized geometry

- Formation energy without anion corrections: -0.736 eV per atom
- Space-group type: P4/mmm, No. 123
- DFT total energy: -21.98 eV for the cell shown
- Magnetic moment: 0.0 μB per cell
- Density of states at the Fermi level: 0.58 states/eV/atom

The structure in CIF format:
```
data_GaSeO2F
_space_group_name_H-M_alt 'P 1'
_space_group_IT_number 1
_cell_length_a 3.8815
_cell_length_b 3.8815
_cell_length_c 3.7520
_cell_angle_alpha 90.00
_cell_angle_beta 90.00
_cell_angle_gamma 90.00
loop_
_space_group_symop_operation_xyz
'x,y,z'
loop_
_atom_site_label
_atom_site_type_symbol
_atom_site_fract_x
_atom_site_fract_y
_atom_site_fract_z
O1 O 0.5000 0.0000 0.0000
O2 O 0.0000 0.5000 0.0000
Ga1 Ga 0.0000 0.0000 0.0000
Se1 Se 0.5000 0.5000 0.5000
F1 F 0.0000 0.0000 0.5000
```



Compound: NaY2AgH
Source: the Alexandria database
Functional: GGA-PBE
Structure: optimized geometry

- Space-group type: P4/mmm, No. 123
- DFT total energy: -20.90 eV for the cell shown
- Magnetic moment: 0.1 μB per cell
- Density of states at the Fermi level: 0.80 states/eV/atom

The structure in CIF format:
```
data_NaY2AgH
_space_group_name_H-M_alt 'P 1'
_space_group_IT_number 1
_cell_length_a 4.9520
_cell_length_b 4.9520
_cell_length_c 4.2772
_cell_angle_alpha 90.00
_cell_angle_beta 90.00
_cell_angle_gamma 90.00
loop_
_space_group_symop_operation_xyz
'x,y,z'
loop_
_atom_site_label
_atom_site_type_symbol
_atom_site_fract_x
_atom_site_fract_y
_atom_site_fract_z
H1 H 0.0000 0.0000 0.0000
Y1 Y 0.5000 0.0000 0.0000
Y2 Y 0.0000 0.5000 0.0000
Ag1 Ag 0.5000 0.5000 0.5000
Na1 Na 0.0000 0.0000 0.5000
```